(1)
DFT (PBEsol) results for ZrSiSbPb2 after structural relaxation.

Results
The calculation puts the formation energy from raw total energies at 1.1917 eV/atom.

abc: 5.6758 5.6758 4.8714
angles: 90.00 90.00 90.00
With the nearest neighbours (Å) after each atom.
Positions (direct):
Zr 0.0000 0.0000 0.0000  8 Pb 3.74, 4 Si 4.01
Si 0.5000 0.5000 0.0000  2 Sb 2.44
Sb 0.5000 0.5000 0.5000  2 Si 2.44
Pb 0.0000 0.5000 0.5000  2 Sb 2.84
Pb 0.5000 0.0000 0.5000  2 Sb 2.84

---

(2)
DFT (PBEsol) results for TlTc2Au after structural relaxation.

Results
The value obtained for the formation energy is 0.708 eV per atom. Its excess energy over the best structure of this formula in the dataset is 0.454 eV per atom.

abc: 5.4281 5.4281 5.4281
angles: 146.15 131.13 60.78
With the nearest neighbours (Å) after each atom.
Positions (direct):
Tl 0.0000 0.0000 0.0000  4 Au 2.75, 4 Tc 2.83
Tc 0.2504 0.7504 0.5000  4 Tc 2.75, 2 Au 2.82, 2 Tl 2.83
Tc 0.7496 0.2496 0.5000  4 Tc 2.75, 2 Au 2.82, 2 Tl 2.83
Au 0.5000 0.5000 0.0000  4 Tl 2.75, 4 Tc 2.82

---

Number 1: E -4.29 eV/atom, total magnetization 0.71 μB/f.u.. Number 2: E -6.56 eV/atom, total magnetization 0.00 μB/f.u..